Below is a geometry-optimized BaBiH2F8 structure, with properties calculated at the GGA-PBE level.

The total energy comes out at -4.56 eV/atom. For the total magnetization, the calculation gives 1.01 μB/f.u.

abc: 4.382 4.430 9.222
angles: 86.40 86.41 67.18
Space group P-1 (No. 2)
Symmetry-distinct sites (fractional):
Ba (0.000, 0.000, 0.000) x1
Bi (0.000, 0.000, 0.500) x1
H (0.485, 0.485, 0.714) x2
F (0.244, 0.719, 0.719) x2
F (0.279, 0.753, 0.281) x2
F (0.308, 0.304, 0.502) x2
F (0.343, 0.345, 0.023) x2



Below is a geometry-optimized KBa2BiF structure, with properties calculated at the GGA-PBE level.

The total energy comes out at -3.59 eV/atom. The formation energy (no corrections) comes out at -1454 meV/atom. For the total magnetization, the calculation gives 0.00 μB/f.u.

abc: 5.662 5.662 5.251
angles: 90.00 90.00 90.00
Space group P4/mmm (No. 123)
Symmetry-distinct sites (fractional):
K (0.000, 0.000, 0.000) x1
Ba (0.000, 0.500, 0.500) x2
Bi (0.500, 0.500, 0.000) x1
F (0.000, 0.000, 0.500) x1



Below is a geometry-optimized K2BaBiF8 structure, with properties calculated at the GGA-PBE level.

The total energy comes out at -4.72 eV/atom. The formation energy (no corrections) comes out at -2805 meV/atom. For the total magnetization, the calculation gives 0.64 μB/f.u.

abc: 6.086 6.086 11.803
angles: 90.00 90.00 90.00
Space group I-4m2 (No. 119)
Symmetry-distinct sites (fractional):
K (0.000, 0.000, 0.000) x2
K (0.000, 0.500, 0.250) x2
Ba (0.000, 0.000, 0.500) x2
Bi (0.000, 0.500, 0.750) x2
F (0.216, 0.280, 0.637) x16



Below is a geometry-optimized Ba2LiBiF structure, with properties calculated at the GGA-PBE level.

The total energy comes out at -3.78 eV/atom. The formation energy (no corrections) comes out at -1481 meV/atom. For the total magnetization, the calculation gives 0.00 μB/f.u.

abc: 5.685 5.685 4.678
angles: 90.00 90.00 90.00
Space group P4/mmm (No. 123)
Symmetry-distinct sites (fractional):
Ba (0.000, 0.500, 0.000) x2
Li (0.000, 0.000, 0.500) x1
Bi (0.500, 0.500, 0.500) x1
F (0.000, 0.000, 0.000) x1



Below is a geometry-optimized BaLiBiF6 structure, with properties calculated at the GGA-PBE level.

The total energy comes out at -5.11 eV/atom. The formation energy (no corrections) comes out at -3007 meV/atom. For the total magnetization, the calculation gives 0.00 μB/f.u.

abc: 5.733 9.944 5.740
angles: 90.00 90.05 90.00
Space group C2 (No. 5)
Symmetry-distinct sites (fractional):
Ba (0.000, 0.000, 0.000) x2
Li (0.000, 0.666, 0.500) x2
Bi (0.000, 0.333, 0.500) x2
F (0.137, 0.510, 0.286) x4
F (0.166, 0.814, 0.286) x4
F (0.196, 0.176, 0.287) x4



Below is a geometry-optimized BaBiN2F structure, with properties calculated at the GGA-PBE level.

The total energy comes out at -4.21 eV/atom. The formation energy (no corrections) comes out at 657 meV/atom. The offset from the most stable computed form is 1092.5 meV/atom. For the total magnetization, the calculation gives 0.06 μB/f.u.

abc: 4.732 4.732 4.702
angles: 90.00 90.00 90.00
Space group P4/mmm (No. 123)
Symmetry-distinct sites (fractional):
Ba (0.000, 0.000, 0.000) x1
Bi (0.500, 0.500, 0.500) x1
N (0.000, 0.500, 0.000) x2
F (0.000, 0.000, 0.500) x1



Below is a geometry-optimized BaBiNF2 structure, with properties calculated at the GGA-PBE level.

The total energy comes out at -5.02 eV/atom. The formation energy (no corrections) comes out at -1448 meV/atom. The offset from the most stable computed form is 0.0 meV/atom. For the total magnetization, the calculation gives 0.00 μB/f.u.

abc: 4.741 4.741 4.573
angles: 90.00 90.00 90.00
Space group P4/mmm (No. 123)
Symmetry-distinct sites (fractional):
Ba (0.000, 0.000, 0.000) x1
Bi (0.500, 0.500, 0.500) x1
N (0.500, 0.500, 0.000) x1
F (0.000, 0.500, 0.500) x2



Below is a geometry-optimized BaBiN2F structure, with properties calculated at the GGA-PBE level.

The total energy comes out at -5.30 eV/atom. The formation energy (no corrections) comes out at -435 meV/atom. The offset from the most stable computed form is 0.0 meV/atom. For the total magnetization, the calculation gives 0.00 μB/f.u.

abc: 4.410 4.410 4.677
angles: 90.00 90.00 90.00
Space group P4/mmm (No. 123)
Symmetry-distinct sites (fractional):
Ba (0.000, 0.000, 0.000) x1
Bi (0.500, 0.500, 0.500) x1
N (0.000, 0.500, 0.500) x2
F (0.500, 0.500, 0.000) x1



Below is a geometry-optimized BaBiNF2 structure, with properties calculated at the GGA-PBE level.

The total energy comes out at -4.31 eV/atom. The formation energy (no corrections) comes out at -739 meV/atom. The offset from the most stable computed form is 708.6 meV/atom. For the total magnetization, the calculation gives 0.00 μB/f.u.

abc: 4.817 4.817 5.197
angles: 90.00 90.00 90.00
Space group P4/mmm (No. 123)
Symmetry-distinct sites (fractional):
Ba (0.000, 0.000, 0.000) x1
Bi (0.500, 0.500, 0.500) x1
N (0.000, 0.000, 0.500) x1
F (0.000, 0.500, 0.000) x2



Below is a geometry-optimized BaNa2BiF8 structure, with properties calculated at the GGA-PBE level.

The total energy comes out at -4.69 eV/atom. The formation energy (no corrections) comes out at -2740 meV/atom. For the total magnetization, the calculation gives 0.08 μB/f.u.

abc: 4.079 5.786 8.219
angles: 90.00 90.00 90.00
Space group Pmmm (No. 47)
Symmetry-distinct sites (fractional):
Ba (0.000, 0.000, 0.000) x1
Na (0.500, 0.500, 0.241) x2
Bi (0.000, 0.000, 0.500) x1
F (0.000, 0.241, 0.289) x4
F (0.500, 0.210, 0.500) x2
F (0.500, 0.271, 0.000) x2



Below is a geometry-optimized Ba2NaBiF structure, with properties calculated at the GGA-PBE level.

The total energy comes out at -3.67 eV/atom. The formation energy (no corrections) comes out at -1491 meV/atom. For the total magnetization, the calculation gives 0.00 μB/f.u.

abc: 5.673 5.673 4.922
angles: 90.00 90.00 90.00
Space group P4/mmm (No. 123)
Symmetry-distinct sites (fractional):
Ba (0.000, 0.500, 0.000) x2
Na (0.000, 0.000, 0.500) x1
Bi (0.500, 0.500, 0.500) x1
F (0.000, 0.000, 0.000) x1



Below is a geometry-optimized Ba2BiO2F4 structure, with properties calculated at the GGA-PBE level.

The total energy comes out at -5.46 eV/atom. The formation energy (no corrections) comes out at -2671 meV/atom. For the total magnetization, the calculation gives 1.00 μB/f.u.

abc: 10.921 6.419 4.463
angles: 90.00 91.90 90.00
Space group C2/m (No. 12)
Symmetry-distinct sites (fractional):
Ba (0.169, 0.000, 0.273) x4
Bi (0.000, 0.500, 0.000) x2
O (0.177, 0.500, 0.226) x4
F (0.079, 0.216, 0.756) x8



Q: What is the total magnetization in the twelfth record?
A: 1.00 μB/f.u.



Q: Among the records above, which one has the highest total magnetization?
A: BaBiH2F8



Q: Among the records above, which one has the highest total magnetization?
A: BaBiH2F8